Computed, not measured: a relaxed structure of InOs3F at the GGA-PBE level of DFT.

Properties
**Formation energy without anion corrections**: 3001 meV per atom
**Space-group type**: Pm-3m (221)
**Excess energy over the best structure of this formula in the dataset**: 1445 meV/atom

Geometry as extended XYZ:
```
5
Lattice="5.005 0.000 0.000 0.000 5.005 0.000 0.000 0.000 5.005" Properties=species:S:1:pos:R:3 pbc="T T T"
In 0.000 0.000 0.000
Os 0.000 0.000 2.502
Os 0.000 2.502 0.000
Os 2.502 0.000 0.000
F 2.502 2.502 2.502
```